# PBE PaPbO3, relaxed
data_PaPbO3
_cell_length_a 4.416
_cell_length_b 4.416
_cell_length_c 4.416
_cell_angle_alpha 90.00
_cell_angle_beta 90.00
_cell_angle_gamma 90.00
_space_group_name_H-M_alt 'P m -3 m'
_space_group_IT_number 221
_space_group_name_Hall '-P 4 2 3'
loop_
_atom_site_label
_atom_site_fract_x
_atom_site_fract_y
_atom_site_fract_z
Pa1 0.000 0.000 0.000
Pb1 0.500 0.500 0.500
O1 0.000 0.000 0.500
# - N(E_F): 3.94 states/eV per cell
# - Formation energy without anion corrections: -2.486 eV per atom
# - Total energy: -8.1017 eV per atom